The following is a DFT calculation (PBE) of crystalline BeAlTe2 at its relaxed geometry.

Output
offset from the most stable computed form = 191 meV per atom
space-group type = R-3m (166)
DOS(E_F) = 1.9 states/eV/cell
ΔE_f (raw) = 2.33 kcal/mol of atoms

Cell: 7.901 7.901 7.901 Å, 31.09 31.09 31.09°
Sites, in units of the cell vectors:
Be: 0.000 0.000 0.000
Te: 0.900 0.900 0.900
Te: 0.100 0.100 0.100
Al: 0.500 0.500 0.500